1.
# Rb2Mg | Alexandria | PBE | relaxed
# crystal system	tetragonal
# energy of formation from the pure elements	218	meV/atom
# polymorph energy (0 for the lowest one)	0.18	eV/f.u.
data_Rb2Mg
_chemical_formula_sum 'Rb16 Mg8'
_space_group_name_H-M_alt 'I 41/a m d'
_space_group_IT_number 141
_cell_length_a 6.300
_cell_length_b 6.300
_cell_length_c 35.385
_cell_angle_alpha 90.00
_cell_angle_beta 90.00
_cell_angle_gamma 90.00
loop_
_space_group_symop_operation_xyz
'x,y,z'
'-x,-y,-z'
'-y+1/4,x+3/4,z+1/4'
'y+1/4,-x+3/4,-z+1/4'
'-x+1/2,-y,z+1/2'
'x+1/2,y,-z+1/2'
'y+1/4,-x+1/4,z+3/4'
'-y+1/4,x+1/4,-z+3/4'
'x,-y,-z'
'-x,y,z'
'-y+1/4,-x+1/4,-z+3/4'
'y+1/4,x+1/4,z+3/4'
'-x+1/2,y,-z+1/2'
'x+1/2,-y,z+1/2'
'y+1/4,x+3/4,-z+1/4'
'-y+1/4,-x+3/4,z+1/4'
'x+1/2,y+1/2,z+1/2'
'-x+1/2,-y+1/2,-z+1/2'
'-y+3/4,x+1/4,z+3/4'
'y+3/4,-x+1/4,-z+3/4'
'-x,-y+1/2,z'
'x,y+1/2,-z'
'y+3/4,-x+3/4,z+1/4'
'-y+3/4,x+3/4,-z+1/4'
'x+1/2,-y+1/2,-z+1/2'
'-x+1/2,y+1/2,z+1/2'
'-y+3/4,-x+3/4,-z+1/4'
'y+3/4,x+3/4,z+1/4'
'-x,y+1/2,-z'
'x,-y+1/2,z'
'y+3/4,x+1/4,-z+3/4'
'-y+3/4,-x+1/4,z+3/4'
loop_
_atom_site_label
_atom_site_type_symbol
_atom_site_fract_x
_atom_site_fract_y
_atom_site_fract_z
Rb1 Rb 0.000 0.250 0.121
Rb2 Rb 0.000 0.250 0.287
Mg1 Mg 0.000 0.250 0.776

2.
# YCuRe | Alexandria | PBE | relaxed
# crystal system	hexagonal
# energy of formation from the pure elements	405	meV/atom
# polymorph energy (0 for the lowest one)	0.23	eV/f.u.
data_YCuRe
_chemical_formula_sum 'Y1 Cu1 Re1'
_space_group_name_H-M_alt 'P -6 m 2'
_space_group_IT_number 187
_space_group_name_Hall 'P -6 2'
_cell_length_a 4.6301
_cell_length_b 4.6301
_cell_length_c 2.9470
_cell_angle_alpha 90.00
_cell_angle_beta 90.00
_cell_angle_gamma 120.00
loop_
_atom_site_label
_atom_site_type_symbol
_atom_site_fract_x
_atom_site_fract_y
_atom_site_fract_z
Y1 Y 0.0000 0.0000 0.0000
Cu1 Cu 0.6667 0.3333 0.5000
Re1 Re 0.3333 0.6667 0.5000

3.
# CoRuCl3 | Alexandria | PBE | relaxed
# E_form (uncorrected)	-0.10	eV per atom
# crystal system	monoclinic
# polymorph energy (0 for the lowest one)	0.76	eV/f.u.
data_CoRuCl3
_chemical_formula_sum 'Co4 Ru4 Cl12'
_space_group_name_H-M_alt 'C 1 2/m 1'
_space_group_IT_number 12
_space_group_name_Hall '-C 2y'
_cell_length_a 16.654
_cell_length_b 3.248
_cell_length_c 8.457
_cell_angle_alpha 90.00
_cell_angle_beta 107.19
_cell_angle_gamma 90.00
loop_
_atom_site_label
_atom_site_type_symbol
_atom_site_fract_x
_atom_site_fract_y
_atom_site_fract_z
Co1 Co 0.046 0.000 0.422
Ru1 Ru 0.164 0.500 0.851
Cl1 Cl 0.014 0.500 0.779
Cl2 Cl 0.143 0.500 0.562
Cl3 Cl 0.185 0.000 0.069

4.
# HfCu2HPt | Alexandria | PBE | relaxed
# energy	-5.812	eV/atom
# crystal system	tetragonal
data_HfCu2HPt
_chemical_formula_sum 'Hf1 Cu2 H1 Pt1'
_space_group_name_H-M_alt 'P 4/m m m'
_space_group_IT_number 123
_space_group_name_Hall '-P 4 2'
_cell_length_a 3.890
_cell_length_b 3.890
_cell_length_c 4.208
_cell_angle_alpha 90.00
_cell_angle_beta 90.00
_cell_angle_gamma 90.00
loop_
_atom_site_label
_atom_site_type_symbol
_atom_site_fract_x
_atom_site_fract_y
_atom_site_fract_z
Hf1 Hf 0.000 0.000 0.000
Cu1 Cu 0.000 0.500 0.500
H1 H 0.000 0.000 0.500
Pt1 Pt 0.500 0.500 0.000

5.
# SrLaTl2 | Alexandria | PBE | relaxed
# crystal system	orthorhombic
# energy of formation from the pure elements	-412	meV/atom
data_SrLaTl2
_chemical_formula_sum 'Sr1 La1 Tl2'
_space_group_name_H-M_alt 'P m m 2'
_space_group_IT_number 25
_space_group_name_Hall 'P 2 -2'
_cell_length_a 4.009
_cell_length_b 5.734
_cell_length_c 5.736
_cell_angle_alpha 90.00
_cell_angle_beta 90.00
_cell_angle_gamma 90.00
loop_
_atom_site_label
_atom_site_type_symbol
_atom_site_fract_x
_atom_site_fract_y
_atom_site_fract_z
Sr1 Sr 0.000 0.000 0.000
La1 La 0.000 0.500 0.502
Tl1 Tl 0.500 0.000 0.500
Tl2 Tl 0.500 0.500 0.002

6.
# NiH3Pb | Alexandria | PBE | relaxed
# crystal system	cubic
# polymorph energy (0 for the lowest one)	0.00	eV/f.u.
data_NiH3Pb
_chemical_formula_sum 'Ni1 H3 Pb1'
_space_group_name_H-M_alt 'P m -3 m'
_space_group_IT_number 221
_space_group_name_Hall '-P 4 2 3'
_cell_length_a 3.668
_cell_length_b 3.668
_cell_length_c 3.668
_cell_angle_alpha 90.00
_cell_angle_beta 90.00
_cell_angle_gamma 90.00
loop_
_atom_site_label
_atom_site_type_symbol
_atom_site_fract_x
_atom_site_fract_y
_atom_site_fract_z
Ni1 Ni 0.000 0.000 0.000
H1 H 0.000 0.000 0.500
Pb1 Pb 0.500 0.500 0.500

7.
# Ca2Pr5Dy | Alexandria | PBE | relaxed
# crystal system	tetragonal
# energy of formation from the pure elements	37	meV/atom
data_Ca2Pr5Dy
_chemical_formula_sum 'Ca4 Pr10 Dy2'
_space_group_name_H-M_alt 'I 4/m m m'
_space_group_IT_number 139
_space_group_name_Hall '-I 4 2'
_cell_length_a 5.240
_cell_length_b 5.240
_cell_length_c 21.394
_cell_angle_alpha 90.00
_cell_angle_beta 90.00
_cell_angle_gamma 90.00
loop_
_atom_site_label
_atom_site_type_symbol
_atom_site_fract_x
_atom_site_fract_y
_atom_site_fract_z
Ca1 Ca 0.000 0.000 0.250
Pr1 Pr 0.000 0.000 0.000
Pr2 Pr 0.000 0.500 0.118
Dy1 Dy 0.000 0.000 0.500

8.
# CdTe | Alexandria | PBE | relaxed
# E_form (uncorrected)	-0.24	eV per atom
# crystal system	orthorhombic
data_CdTe
_chemical_formula_sum 'Cd4 Te4'
_space_group_name_H-M_alt 'C m c m'
_space_group_IT_number 63
_space_group_name_Hall '-C 2c 2'
_cell_length_a 4.167
_cell_length_b 14.822
_cell_length_c 4.190
_cell_angle_alpha 90.00
_cell_angle_beta 90.00
_cell_angle_gamma 90.00
loop_
_atom_site_label
_atom_site_type_symbol
_atom_site_fract_x
_atom_site_fract_y
_atom_site_fract_z
Cd1 Cd 0.000 0.174 0.250
Te1 Te 0.000 0.374 0.250

The spin magnetization results, record by record, are as follows: 0.00, 0.00, 0.40, 0.00, 0.00, 0.00, 0.00, 0.00 μB per atom.
The V results, record by record, are as follows: 175.5, 54.7, 109.3, 63.7, 131.9, 49.3, 293.7, 64.7 Å³/f.u..